DFT (PBE+U) results for crystalline Cr2CdSiO6 at its relaxed geometry.

Lattice parameters (Å, degrees): 5.108 5.108 5.490 62.28 62.28 60.00
Site moments in Bohr magnetons follow the coordinates.
Positions (direct):
Cr: 0.520 0.520 0.439  3.02
Cr: 0.009 0.009 0.973  2.98
Cd: 0.797 0.796 0.611  0.01
Si: 0.323 0.323 0.032  0.02
O: 0.575 0.255 0.218  -0.03
O: 0.255 0.952 0.218  -0.03
O: 0.952 0.575 0.218  -0.03
O: 0.369 0.702 0.769  -0.04
O: 0.702 0.160 0.769  -0.04
O: 0.160 0.369 0.769  -0.04

Results
SG = No. 146
Volume = 104.6 Å³/cell
DFT total energy = -7.02 eV/atom